Entry 1:
Compound: VInSi2
Source: Alexandria via LeMat-Bulk
Functional: PBE
Structure: optimized geometry

Lattice parameters (Å, degrees): 4.2119 4.2119 8.9824 76.44 76.44 90.00
Closest atoms and distances in Å follow each position.
Fractional positions:
V1 0.2500 0.7500 0.5000  4 Si 2.45
V2 0.5000 0.5000 0.0000  4 Si 2.45
Si1 0.2259 0.6250 0.2500  2 V 2.45, 2 Si 2.45
Si2 0.3750 0.4759 0.7500  2 V 2.45, 2 Si 2.45
Si3 0.5241 0.1250 0.2500  2 V 2.45, 2 Si 2.45
Si4 0.8750 0.7741 0.7500  2 V 2.45, 2 Si 2.45
In1 0.0000 0.0000 0.0000  4 Si 2.79, 4 V 2.98
In2 0.7500 0.2500 0.5000  4 Si 2.79, 4 V 2.98

## Properties
DOS at the Fermi energy: 1.03 states/eV/atom
Uncorrected energy: -42.478 eV for the cell shown
E_form (uncorrected): 0.37 eV per atom
Calculated density: 4.9 g/cm³

---

Entry 2:
Compound: VIn2Si2
Source: Alexandria via LeMat-Bulk
Functional: PBE
Structure: optimized geometry

Lattice parameters (Å, degrees): 6.5741 6.5741 4.3878 90.00 90.00 90.00
Closest atoms and distances in Å follow each position.
Fractional positions:
In1 0.8146 0.3146 0.5000  6 Si 2.79-3.04
In2 0.6854 0.8146 0.5000  6 Si 2.79-3.04
In3 0.3146 0.1854 0.5000  6 Si 2.79-3.04
In4 0.1854 0.6854 0.5000  6 Si 2.79-3.04
V1 0.5000 0.5000 0.0000  4 Si 2.58
V2 0.0000 0.0000 0.0000  4 Si 2.58
Si1 0.1295 0.3705 0.0000  1 Si 2.41, 2 V 2.58
Si2 0.6295 0.1295 0.0000  1 Si 2.41, 2 V 2.58
Si3 0.8705 0.6295 0.0000  1 Si 2.41, 2 V 2.58
Si4 0.3705 0.8705 0.0000  1 Si 2.41, 2 V 2.58

## Properties
DOS at the Fermi energy: 0.57 states/eV/atom
Uncorrected energy: -48.301 eV for the cell shown
Offset from the most stable computed form: 0.000 eV per atom
E_form (uncorrected): 0.26 eV per atom
Calculated density: 5.9 g/cm³

---

Entry 3:
Compound: V3InSi
Source: Alexandria via LeMat-Bulk
Functional: PBE
Structure: optimized geometry

Lattice parameters (Å, degrees): 4.4823 4.4823 4.4823 90.00 90.00 90.00
Closest atoms and distances in Å follow each position.
Fractional positions:
Si1 0.0000 0.0000 0.0000  6 V 2.24
V1 0.0000 0.5000 0.0000  2 Si 2.24
V2 0.0000 0.0000 0.5000  2 Si 2.24
V3 0.5000 0.0000 0.0000  2 Si 2.24
In1 0.5000 0.5000 0.5000  12 V 3.17

## Properties
DOS at the Fermi energy: 1.24 states/eV/atom
Uncorrected energy: -32.974 eV for the cell shown
Offset from the most stable computed form: 0.000 eV per atom
E_form (uncorrected): 0.51 eV per atom
Calculated density: 5.5 g/cm³

---

Entry 4:
Compound: V3InSi
Source: Alexandria via LeMat-Bulk
Functional: PBE
Structure: optimized geometry

Lattice parameters (Å, degrees): 4.8876 4.8876 4.8876 90.00 90.00 90.00
Closest atoms and distances in Å follow each position.
Fractional positions:
V1 0.0000 0.0000 0.5000  2 In 2.44
V2 0.0000 0.5000 0.0000  2 In 2.44
V3 0.5000 0.0000 0.0000  2 In 2.44
In1 0.0000 0.0000 0.0000  6 V 2.44
Si1 0.5000 0.5000 0.5000  12 V 3.46

## Properties
DOS at the Fermi energy: 2.06 states/eV/atom
Uncorrected energy: -26.428 eV for the cell shown
Offset from the most stable computed form: 1.309 eV per atom
E_form (uncorrected): 1.82 eV per atom
Calculated density: 4.2 g/cm³

---

Entry 5:
Compound: InSiW2
Source: Alexandria via LeMat-Bulk
Functional: PBE
Structure: optimized geometry

Lattice parameters (Å, degrees): 9.2804 9.2804 9.2804 17.98 17.98 17.98
Closest atoms and distances in Å follow each position.
Fractional positions:
W1 0.0076 0.0076 0.0076  3 Si 2.67, 6 W 2.90
W2 0.4924 0.4924 0.4924  3 Si 2.67, 6 W 2.90
In1 0.2500 0.2500 0.2500  6 In 2.90, 6 W 3.00
Si1 0.7500 0.7500 0.7500  6 W 2.67, 6 Si 2.90

## Properties
DOS at the Fermi energy: 0.56 states/eV/atom
Uncorrected energy: -32.354 eV for the cell shown
Offset from the most stable computed form: 0.216 eV per atom
E_form (uncorrected): 0.43 eV per atom
Calculated density: 12.8 g/cm³

---

Entry 6:
Compound: InSiW3
Source: Alexandria via LeMat-Bulk
Functional: PBE
Structure: optimized geometry

Lattice parameters (Å, degrees): 4.5456 4.5456 4.5456 90.00 90.00 90.00
Closest atoms and distances in Å follow each position.
Fractional positions:
W1 0.0000 0.5000 0.0000  2 Si 2.27
W2 0.5000 0.0000 0.0000  2 Si 2.27
W3 0.0000 0.0000 0.5000  2 Si 2.27
In1 0.5000 0.5000 0.5000  12 W 3.21
Si1 0.0000 0.0000 0.0000  6 W 2.27

## Properties
DOS at the Fermi energy: 1.43 states/eV/atom
Uncorrected energy: -40.893 eV for the cell shown
Offset from the most stable computed form: 0.000 eV per atom
E_form (uncorrected): 1.23 eV per atom
Calculated density: 12.3 g/cm³